Material: TaCdPt2
Method: DFT, meta-GGA SCAN
State: PBEsol geometry

The structure belongs to space group I4/mmm (No. 139); the cell edges are 4.317, 4.317 and 7.071 Å and the angles 90.00°, 90.00° and 90.00°. The asymmetric unit holds Ta at (0.000, 0.000, 0.000), Cd at (0.000, 0.000, 0.500) and Pt at (0.000, 0.500, 0.250).

The spin magnetization is 0.000 μB per formula unit. The value obtained for the formation energy is -0.445 eV per atom.